Record 1
{
  "formula": "TcSbRh2",
  "functional": "PBE-GGA",
  "state": "relaxed",
  "raw_formation_energy_ev_per_atom": -0.07,
  "cell": [[-4.0276, -1.0979, -2.2505], [1.3585, -2.2643, -3.9394], [1.2322, -0.8311, 4.5036]],
  "species": ["Rh", "Rh", "Sb", "Tc"],
  "frac_coords": [[0.0000, 0.0000, 0.0000], [0.2500, 0.7500, 0.5000], [0.5000, 0.5000, 0.0000], [0.7500, 0.2500, 0.5000]]
}

***

Record 2
{
  "formula": "Tc2SbRh",
  "functional": "PBE-GGA",
  "state": "relaxed",
  "raw_formation_energy_ev_per_atom": 0.05,
  "cell": [[-4.1861, -0.2942, 2.3426], [-3.0132, -2.5202, -2.7689], [4.4675, -1.0018, 1.4614]],
  "species": ["Rh", "Sb", "Tc", "Tc"],
  "frac_coords": [[0.5000, 0.5000, 0.0000], [0.7500, 0.2500, 0.5000], [0.0000, 0.0000, 0.0000], [0.2500, 0.7500, 0.5000]]
}

***

Record 3
{
  "formula": "Tc2SbRh",
  "functional": "PBE-GGA",
  "state": "relaxed",
  "raw_formation_energy_ev_per_atom": 0.22,
  "cell": [[4.1574, 0.0000, 0.0000], [0.0000, 2.8927, 0.0106], [0.0000, 1.8235, 5.4574]],
  "species": ["Rh", "Sb", "Tc", "Tc"],
  "frac_coords": [[0.5000, 0.2500, 0.2500], [0.5000, 0.7500, 0.7500], [0.0000, 0.8870, 0.0271], [0.0000, 0.6130, 0.4729]]
}

***

Record 4
{
  "formula": "TcSbRh2",
  "functional": "PBE-GGA",
  "state": "relaxed",
  "raw_formation_energy_ev_per_atom": 0.06,
  "cell": [[-2.0000, 1.9501, 0.9045], [-1.6505, -0.6017, -2.3527], [-3.5207, -5.3964, 3.8499]],
  "species": ["Rh", "Rh", "Sb", "Tc"],
  "frac_coords": [[0.0000, 0.0000, 0.9827], [0.0000, 0.0000, 0.5173], [0.5000, 0.5000, 0.2500], [0.5000, 0.5000, 0.7500]]
}

***

Record 5
{
  "formula": "Tc2SbRh",
  "functional": "PBE-GGA",
  "state": "relaxed",
  "raw_formation_energy_ev_per_atom": 0.23,
  "cell": [[4.5006, 0.0000, 0.0000], [2.2503, 3.8976, 0.0000], [2.2503, 1.2992, 3.6747]],
  "species": ["Rh", "Sb", "Tc", "Tc"],
  "frac_coords": [[0.5000, 0.5000, 0.5000], [0.7500, 0.7500, 0.7500], [0.0000, 0.0000, 0.0000], [0.2500, 0.2500, 0.2500]]
}

***

Record 6
{
  "formula": "Tc2Sb8Rh",
  "functional": "PBE-GGA",
  "state": "relaxed",
  "raw_formation_energy_ev_per_atom": 0.05,
  "cell": [[5.1989, 0.0988, 0.3230], [0.1771, 7.4184, 2.0479], [-0.0394, 0.3718, 7.6888]],
  "species": ["Tc", "Tc", "Sb", "Sb", "Sb", "Sb", "Sb", "Sb", "Sb", "Sb", "Rh"],
  "frac_coords": [[0.3102, 0.6067, 0.6067], [0.6898, 0.3933, 0.3933], [0.3019, 0.8881, 0.2868], [0.3019, 0.2868, 0.8881], [0.6981, 0.1119, 0.7132], [0.1934, 0.3972, 0.3972], [0.6981, 0.7132, 0.1119], [0.3233, 0.8207, 0.8207], [0.6767, 0.1793, 0.1793], [0.8066, 0.6028, 0.6028], [0.0000, 0.0000, 0.0000]]
}

***

Record 7
{
  "formula": "Tc2SbRh",
  "functional": "PBE-GGA",
  "state": "relaxed",
  "raw_formation_energy_ev_per_atom": 0.15,
  "cell": [[4.8465, 0.0181, 0.1635], [3.9513, 2.8064, 0.1635], [0.8962, 0.2877, 4.7800]],
  "species": ["Rh", "Sb", "Tc", "Tc"],
  "frac_coords": [[0.7500, 0.7500, 0.7500], [0.2500, 0.2500, 0.2500], [0.0000, 0.0000, 0.9723], [0.5000, 0.5000, 0.5277]]
}

***

Record 8
{
  "formula": "TcSb3Rh",
  "functional": "PBE-GGA",
  "state": "relaxed",
  "e_above_lowest_polymorph_ev_per_atom": 0.000,
  "raw_formation_energy_ev_per_atom": 0.80,
  "cell": [[5.0691, 0.0000, 0.0000], [0.0000, 5.0691, 0.0000], [0.0000, 0.0000, 5.0691]],
  "species": ["Sb", "Sb", "Sb", "Rh", "Tc"],
  "frac_coords": [[0.0000, 0.5000, 0.0000], [0.0000, 0.0000, 0.5000], [0.5000, 0.0000, 0.0000], [0.5000, 0.5000, 0.5000], [0.0000, 0.0000, 0.0000]]
}

***

no.,DFT total energy (eV per atom)
1,-7.365
2,-8.003
3,-7.832
4,-7.239
5,-7.825
6,-5.504
7,-7.899
8,-5.215